Computed, not measured: a relaxed structure of Pa2Zn15Au2 at the GGA-PBE level of DFT.

```
19
Lattice="4.507 2.602 4.427 -4.507 2.602 4.427 0.000 -5.204 4.427" Properties=species:S:1:pos:R:3 pbc="T T T"
Pa 0.000 0.000 2.090
Pa 0.000 0.000 11.192
Zn -2.254 -1.301 4.427
Zn 0.000 -2.692 4.214
Zn -2.331 1.346 4.214
Zn -1.329 -2.301 6.641
Zn -2.657 0.000 6.641
Zn -2.331 -1.346 9.068
Zn -2.254 1.301 8.855
Zn 1.329 -2.301 6.641
Zn 0.000 2.602 4.427
Zn -1.329 2.301 6.641
Zn 2.331 1.346 4.214
Zn 2.657 0.000 6.641
Zn 1.329 2.301 6.641
Zn 2.331 -1.346 9.068
Zn 0.000 2.692 9.068
Au 0.000 0.000 5.154
Au 0.000 0.000 8.128
```

## Properties
Energy, eV/cell: -47.71
Space-group type: R-3m (166)
Formation enthalpy at 0 K, eV/atom: -0.161

=====

Computed, not measured: a relaxed structure of Pa2Zn2Au3 at the GGA-PBE level of DFT.

```
7
Lattice="5.894 -1.791 0.000 5.894 1.791 0.000 -1.077 0.000 6.780" Properties=species:S:1:pos:R:3 pbc="T T T"
Pa 1.458 0.000 2.240
Pa 9.252 0.000 4.540
Zn 4.673 0.000 2.383
Zn 6.037 0.000 4.397
Au 1.272 0.000 5.866
Au 5.894 0.000 0.000
Au 9.438 0.000 0.914
```

## Properties
Energy, eV/cell: -32.65
Space-group type: C2/m (12)
Formation enthalpy at 0 K, eV/atom: -0.183
E above lowest polymorph, meV per atom: 67

=====

Computed, not measured: a relaxed structure of Pa2ZnAu6 at the GGA-PBE level of DFT.

```
9
Lattice="6.426 0.000 0.000 -3.213 5.565 0.000 0.000 0.000 5.235" Properties=species:S:1:pos:R:3 pbc="T T T"
Pa 0.000 3.710 1.653
Pa 3.213 1.855 3.583
Zn 0.000 0.000 2.618
Au 0.000 2.048 4.210
Au -1.439 4.541 4.210
Au 1.774 1.024 1.025
Au 1.439 4.541 4.210
Au 4.653 1.024 1.025
Au 3.213 3.517 1.025
```

## Properties
Energy, eV/cell: -42.44
Space-group type: P-3m1 (164)
Formation enthalpy at 0 K, eV/atom: -0.279

=====

Computed, not measured: a relaxed structure of PaZn2Au3 at the GGA-PBE level of DFT.

```
12
Lattice="4.525 0.000 0.000 -2.262 3.919 0.000 0.000 0.000 13.083" Properties=species:S:1:pos:R:3 pbc="T T T"
Pa 0.000 0.000 3.271
Pa 0.000 0.000 9.812
Zn 0.000 2.612 1.090
Zn 0.000 2.612 5.451
Zn 2.262 1.306 7.631
Zn 2.262 1.306 11.993
Au 0.000 0.000 0.000
Au 0.000 0.000 6.541
Au 0.000 2.612 8.283
Au 0.000 2.612 11.342
Au 2.262 1.306 1.741
Au 2.262 1.306 4.800
```

## Properties
Energy, eV/cell: -47.18
Space-group type: P6_3/mmc (194)
Formation enthalpy at 0 K, eV/atom: -0.286

=====

Computed, not measured: a relaxed structure of PaZn3Au9 at the GGA-PBE level of DFT.

```
13
Lattice="2.661 -6.711 0.000 2.661 6.711 0.000 -2.208 0.000 6.686" Properties=species:S:1:pos:R:3 pbc="T T T"
Pa 0.000 0.000 0.000
Zn 1.331 3.356 0.000
Zn 1.331 -3.356 0.000
Zn 1.557 0.000 3.343
Au -1.104 0.000 3.343
Au 0.444 4.344 4.492
Au 0.490 1.431 5.285
Au 2.671 4.344 2.194
Au 2.624 1.431 1.401
Au 0.490 -1.431 5.285
Au 0.444 -4.344 4.492
Au 2.624 -1.431 1.401
Au 2.671 -4.344 2.194
```

## Properties
Energy, eV/cell: -45.40
Space-group type: C2/m (12)
Formation enthalpy at 0 K, eV/atom: -0.199

=====

Computed, not measured: a relaxed structure of PaZn6Au12 at the GGA-PBE level of DFT.

```
19
Lattice="-4.493 4.493 4.493 4.493 -4.493 4.493 4.493 4.493 -4.493" Properties=species:S:1:pos:R:3 pbc="T T T"
Pa 0.000 0.000 0.000
Zn 4.493 1.267 0.000
Zn 4.493 0.000 3.226
Zn 3.226 4.493 0.000
Zn 1.267 0.000 4.493
Zn 0.000 4.493 1.267
Zn 0.000 3.226 4.493
Au 4.493 2.972 -1.940
Au 2.553 0.000 1.521
Au 6.433 0.000 1.521
Au 1.521 2.553 0.000
Au 2.972 -1.940 4.493
Au 0.000 1.521 2.553
Au 4.493 2.972 1.940
Au 1.521 6.433 0.000
Au 2.972 1.940 4.493
Au -1.940 4.493 2.972
Au 1.940 4.493 2.972
Au 0.000 1.521 6.433
```

## Properties
Energy, eV/cell: -56.19
Space-group type: Im-3 (204)
Formation enthalpy at 0 K, eV/atom: 0.014

=====

Computed, not measured: a relaxed structure of PaZn3Au2 at the GGA-PBE level of DFT.

```
12
Lattice="8.006 -2.164 0.000 8.006 2.164 0.000 -2.415 0.000 6.497" Properties=species:S:1:pos:R:3 pbc="T T T"
Pa 1.404 0.000 1.047
Pa 12.192 0.000 5.450
Zn -0.439 0.000 4.273
Zn 4.688 0.000 0.634
Zn 4.540 0.000 3.227
Zn 9.057 0.000 3.270
Zn 8.909 0.000 5.863
Zn 14.035 0.000 2.223
Au 2.170 0.000 4.516
Au 7.273 0.000 1.277
Au 6.323 0.000 5.220
Au 11.427 0.000 1.981
```

## Properties
Energy, eV/cell: -42.40
Space-group type: C2/m (12)
Formation enthalpy at 0 K, eV/atom: -0.221

=====

Computed, not measured: a relaxed structure of PaZn4Au8 at the GGA-PBE level of DFT.

```
13
Lattice="-4.659 4.659 2.703 4.659 -4.659 2.703 4.659 4.659 -2.703" Properties=species:S:1:pos:R:3 pbc="T T T"
Pa 0.000 0.000 0.000
Zn 2.329 2.329 -1.352
Zn 2.329 -2.329 1.352
Zn -2.329 2.329 1.352
Zn 2.329 2.329 1.352
Au 3.071 0.000 0.000
Au 6.246 0.000 0.000
Au 4.659 2.651 0.000
Au 0.000 3.071 0.000
Au 2.651 4.659 0.000
Au 2.007 0.000 2.703
Au 0.000 6.246 0.000
Au 0.000 2.007 2.703
```

## Properties
Energy, eV/cell: -43.84
Space-group type: I4/mmm (139)
Formation enthalpy at 0 K, eV/atom: -0.233

=====

Computed, not measured: a relaxed structure of ZrPaZnAu at the GGA-PBE level of DFT.

```
4
Lattice="0.000 3.517 3.517 3.517 0.000 3.517 3.517 3.517 0.000" Properties=species:S:1:pos:R:3 pbc="T T T"
Zr 0.000 0.000 0.000
Pa 3.517 3.517 3.517
Zn 5.276 5.276 5.276
Au 1.759 1.759 1.759
```

## Properties
Energy, eV/cell: -22.97
Space-group type: F-43m (216)
Formation enthalpy at 0 K, eV/atom: -0.093

=====

Computed, not measured: a relaxed structure of ZrPa2Au6 at the GGA-PBE level of DFT.

```
9
Lattice="8.306 0.000 0.000 -4.153 7.193 0.000 0.000 0.000 3.063" Properties=species:S:1:pos:R:3 pbc="T T T"
Zr 0.000 0.000 0.000
Pa 0.000 4.795 0.000
Pa 4.153 2.398 0.000
Au -1.376 2.384 1.532
Au -2.777 4.809 1.532
Au 2.753 0.000 1.532
Au 1.376 2.384 1.532
Au 5.553 0.000 1.532
Au 2.777 4.809 1.532
```

## Properties
Energy, eV/cell: -51.54
Space-group type: P6/mmm (191)
Formation enthalpy at 0 K, eV/atom: -0.482

=====

Computed, not measured: a relaxed structure of Zr2PaAu6 at the GGA-PBE level of DFT.

```
9
Lattice="4.150 2.396 2.961 -4.150 2.396 2.961 0.000 -4.792 2.961" Properties=species:S:1:pos:R:3 pbc="T T T"
Zr 0.000 0.000 1.441
Zr 0.000 0.000 7.443
Pa 0.000 0.000 4.442
Au -1.383 -2.397 2.961
Au -2.767 0.001 2.961
Au -2.767 -0.001 5.923
Au -1.385 2.396 2.961
Au 2.767 0.001 2.961
Au 1.385 2.396 2.961
```

## Properties
Energy, eV/cell: -50.76
Space-group type: R-3m (166)
Formation enthalpy at 0 K, eV/atom: -0.500

=====

Computed, not measured: a relaxed structure of Pb3Au4 at the GGA-PBE level of DFT.

```
7
Lattice="-1.795 1.795 12.930 1.795 -1.795 12.930 1.795 1.795 -12.930" Properties=species:S:1:pos:R:3 pbc="T T T"
Pb 0.000 0.000 0.000
Pb 0.000 0.000 7.920
Pb 0.000 0.000 17.941
Au 0.000 0.000 3.309
Au 0.000 0.000 11.077
Au 0.000 0.000 14.784
Au 0.000 0.000 22.551
```

## Properties
Energy, eV/cell: -24.41
Space-group type: I4/mmm (139)
Formation enthalpy at 0 K, eV/atom: -0.025
E above lowest polymorph, meV per atom: 44

=====

- The highest formation enthalpy at 0 K belongs to which entry?
  PaZn6Au12

=====

- What is the energy in the seventh record?
  -42.40 eV/cell

=====

- Number 5 is which compound?
  PaZn3Au9